## Sr4TeAsBr2 (GGA-PBE)

Data for crystalline Sr4TeAsBr2 at its relaxed geometry.

Lattice parameters (Å, degrees): 7.8437 4.6233 8.0884 90.00 109.88 90.00
Last column: nearest neighbours and their distance in Å.
Fractional positions:
Sr  0.2241  0.0000  0.2257  2 As 3.10, 1 Te 3.27, 3 Br 3.27-3.42
Sr  0.2328  0.5000  0.7627  1 As 3.07, 2 Te 3.25, 2 Br 3.27
Sr  0.7672  0.5000  0.2373  1 As 3.07, 2 Te 3.25, 2 Br 3.27
Sr  0.7759  0.0000  0.7743  2 As 3.10, 1 Te 3.27, 3 Br 3.27-3.42
Te  0.0000  0.0000  0.5000  6 Sr 3.25-3.27
As  0.0000  0.5000  0.0000  6 Sr 3.07-3.10
Br  0.5000  0.0000  0.0000  6 Sr 3.27
Br  0.5000  0.5000  0.5000  6 Sr 3.42-3.45

Calculated values
DFT total energy = -3.809 eV per atom

=====

## Tb3TmAg (GGA-PBE)

Data for crystalline Tb3TmAg at its relaxed geometry.

Lattice parameters (Å, degrees): 6.6811 6.6811 7.7630 107.97 107.97 67.84
Last column: nearest neighbours and their distance in Å.
Fractional positions:
Tb  0.0549  0.0549  0.2385  2 Ag 3.26-3.40, 7 Tb 3.43-3.51
Tb  0.0867  0.5843  0.3502  2 Ag 3.14, 3 Tm 3.43-3.48, 4 Tb 3.43-3.51
Tb  0.4157  0.9133  0.6498  2 Ag 3.14, 3 Tm 3.43-3.48, 4 Tb 3.43-3.51
Tb  0.5843  0.0867  0.3502  2 Ag 3.14, 3 Tm 3.43-3.48, 4 Tb 3.43-3.51
Tb  0.9133  0.4157  0.6498  2 Ag 3.14, 3 Tm 3.43-3.48, 4 Tb 3.43-3.51
Tb  0.9451  0.9451  0.7615  2 Ag 3.26-3.40, 7 Tb 3.43-3.51
Tm  0.4418  0.4418  0.7589  2 Ag 3.17-3.25, 6 Tb 3.43-3.48, 1 Tm 3.48
Tm  0.5582  0.5582  0.2411  2 Ag 3.17-3.25, 6 Tb 3.43-3.48, 1 Tm 3.48
Ag  0.2568  0.2568  0.9992  6 Tb 3.14-3.40, 2 Tm 3.17-3.25
Ag  0.7432  0.7432  0.0008  6 Tb 3.14-3.40, 2 Tm 3.17-3.25

Calculated values
DFT total energy = -4.247 eV per atom